Computed, not measured: a relaxed structure of Mg3Ta at the PBE level of DFT.

CIF file:
```
data_Mg3Ta
_space_group_name_H-M_alt 'P n m a'
_space_group_IT_number 62
_cell_length_a 4.8223
_cell_length_b 9.9826
_cell_length_c 6.8627
_cell_angle_alpha 90.00
_cell_angle_beta 90.00
_cell_angle_gamma 90.00
loop_
_space_group_symop_operation_xyz
'x,y,z'
'-x,-y,-z'
'-x+1/2,-y,z+1/2'
'x+1/2,y,-z+1/2'
'x+1/2,-y+1/2,-z+1/2'
'-x+1/2,y+1/2,z+1/2'
'-x,y+1/2,-z'
'x,-y+1/2,z'
loop_
_atom_site_label
_atom_site_type_symbol
_atom_site_fract_x
_atom_site_fract_y
_atom_site_fract_z
_atom_site_occupancy
Mg1 Mg 0.2494 0.2500 0.1138 1
Mg2 Mg 0.2499 0.0040 0.3810 1
Ta1 Ta 0.2493 0.2500 0.6692 1
```

Values from the calculation:
calculated volume: 20.648 Å³ per atom
E: -62.9 eV for the cell shown
formation energy: 0.230 eV/atom
total magnetic moment: 0.0 μB/f.u.